Record 1
Density functional theory data (PBE-GGA) for an optimized crystal structure of Li2NdTmGe2.

The structure in extended XYZ format:
```
6
Lattice="4.438 0.000 0.000 -2.219 3.844 0.000 0.000 0.000 7.284" Properties=species:S:1:pos:R:3 pbc="T T T"
Li 0.000 2.562 1.551
Li 2.219 1.281 5.733
Nd 0.000 0.000 3.642
Tm 0.000 0.000 0.000
Ge 0.000 2.562 5.574
Ge 2.219 1.281 1.710
```

The raw total energy comes out at -26.4 eV/cell.

Record 2
Density functional theory data (PBE-GGA) for an optimized crystal structure of CdRe2Au.

The structure in extended XYZ format:
```
4
Lattice="2.723 0.000 0.000 0.000 2.723 0.000 0.000 0.000 9.058" Properties=species:S:1:pos:R:3 pbc="T T T"
Cd 0.000 0.000 0.000
Re 1.362 1.362 2.338
Re 1.362 1.362 6.720
Au 0.000 0.000 4.529
```

The raw total energy comes out at -26.1 eV/cell.

Record 3
Density functional theory data (PBE-GGA) for an optimized crystal structure of CaHoN.

The structure in extended XYZ format:
```
12
Lattice="3.234 0.000 0.000 0.000 13.687 0.000 0.000 0.000 6.122" Properties=species:S:1:pos:R:3 pbc="T T T"
Ca 0.000 2.463 1.530
Ca 0.000 11.223 4.591
Ca 1.617 4.380 4.591
Ca 1.617 9.307 1.530
Ho 0.000 0.758 4.591
Ho 0.000 12.929 1.530
Ho 1.617 6.085 1.530
Ho 1.617 7.601 4.591
N 0.000 6.843 0.000
N 0.000 6.843 3.061
N 1.617 0.000 0.000
N 1.617 0.000 3.061
```

Its formation energy from raw total energies is -644 meV/atom.

Record 4
Density functional theory data (PBE-GGA) for an optimized crystal structure of MoPbSe2.

The structure in extended XYZ format:
```
4
Lattice="5.058 0.000 0.000 0.000 5.058 0.000 0.000 0.000 3.450" Properties=species:S:1:pos:R:3 pbc="T T T"
Mo 0.000 0.000 0.000
Pb 2.529 2.529 0.000
Se 0.000 2.529 1.725
Se 2.529 0.000 1.725
```

Its formation energy from raw total energies is 361 meV/atom.

Record 5
Density functional theory data (PBE-GGA) for an optimized crystal structure of Pm2ScRe.

The structure in extended XYZ format:
```
12
Lattice="3.210 0.000 0.000 -1.605 2.780 0.000 0.000 0.000 33.690" Properties=species:S:1:pos:R:3 pbc="T T T"
Pm 0.000 0.000 2.723
Pm 0.000 0.000 30.967
Pm 0.000 1.854 19.737
Pm 0.000 1.854 25.183
Pm 1.605 0.927 8.507
Pm 1.605 0.927 13.953
Sc 0.000 0.000 16.845
Sc 0.000 1.854 5.615
Sc 1.605 0.927 28.075
Re 0.000 0.000 0.000
Re 0.000 1.854 22.460
Re 1.605 0.927 11.230
```

The raw total energy comes out at -74.6 eV/cell.

no.,total magnetization (μB per cell)
1,0.00
2,0.00
3,0.00
4,2.92
5,0.95